[1]
DFT (PBE) results for a relaxed structure of HfGaMo2Se.

Values from the calculation:
The calculation puts the energy relative to the elements, uncorrected at 0.913 eV/atom.

Cell lengths 4.5951, 4.5951, 4.9062 Å; angles 90.00, 90.00, 90.00 degrees
Space group P4/mmm (No. 123)
One atom of each set of equivalent atoms:
Hf1 0.0000 0.0000 0.0000 (multiplicity 1)
Ga1 0.5000 0.5000 0.0000 (multiplicity 1)
Mo1 0.0000 0.5000 0.5000 (multiplicity 2)
Se1 0.5000 0.5000 0.5000 (multiplicity 1)

[2]
DFT (PBE) results for a relaxed structure of HfGa2TcMo.

Values from the calculation:
The final energy is -31.83 eV/f.u.

Cell lengths 4.8076, 4.8076, 4.9031 Å; angles 90.00, 90.00, 90.00 degrees
Space group P4/mmm (No. 123)
One atom of each set of equivalent atoms:
Hf1 0.0000 0.0000 0.0000 (multiplicity 1)
Ga1 0.0000 0.5000 0.5000 (multiplicity 2)
Tc1 0.5000 0.5000 0.0000 (multiplicity 1)
Mo1 0.0000 0.0000 0.5000 (multiplicity 1)

[3]
DFT (PBE) results for a relaxed structure of HfVGaMo.

Values from the calculation:
The final energy is -33.42 eV/f.u.

Cell lengths 6.3951, 6.3951, 6.3951 Å; angles 90.00, 90.00, 90.00 degrees
Space group F-43m (No. 216)
One atom of each set of equivalent atoms:
Hf1 0.0000 0.0000 0.0000 (multiplicity 4)
V1 0.0000 0.0000 0.5000 (multiplicity 4)
Ga1 0.2500 0.2500 0.7500 (multiplicity 4)
Mo1 0.2500 0.2500 0.2500 (multiplicity 4)

[4]
DFT (PBE) results for a relaxed structure of Hf2GaMoW.

Values from the calculation:
The final energy is -40.26 eV/f.u.

Cell lengths 4.9613, 4.9613, 4.8638 Å; angles 90.00, 90.00, 90.00 degrees
Space group P4/mmm (No. 123)
One atom of each set of equivalent atoms:
Hf1 0.0000 0.5000 0.0000 (multiplicity 2)
Ga1 0.0000 0.0000 0.5000 (multiplicity 1)
Mo1 0.5000 0.5000 0.5000 (multiplicity 1)
W1 0.0000 0.0000 0.0000 (multiplicity 1)